1.
The following is a DFT calculation (PBE) of a relaxed structure of Sr4Tl5Pd6. Values from VASP.

Structure (Quantum ESPRESSO input):
```
&SYSTEM
  ibrav = 0, nat = 30, ntyp = 3
/
ATOMIC_SPECIES
Sr 87.62 Sr.upf
Tl 204.38 Tl.upf
Pd 106.42 Pd.upf
ATOMIC_POSITIONS crystal
Sr 0.029 0.971 0.500
Sr 0.073 0.927 0.776
Sr 0.114 0.886 0.276
Sr 0.191 0.809 0.955
Sr 0.809 0.191 0.455
Sr 0.886 0.114 0.776
Sr 0.927 0.073 0.276
Sr 0.971 0.029 0.000
Tl 0.189 0.811 0.590
Tl 0.299 0.701 0.260
Tl 0.331 0.669 0.621
Tl 0.361 0.639 0.940
Tl 0.482 0.518 0.660
Tl 0.518 0.482 0.160
Tl 0.639 0.361 0.440
Tl 0.669 0.331 0.121
Tl 0.701 0.299 0.760
Tl 0.811 0.189 0.090
Pd 0.089 0.911 0.088
Pd 0.216 0.784 0.407
Pd 0.278 0.722 0.790
Pd 0.390 0.610 0.126
Pd 0.420 0.580 0.468
Pd 0.482 0.518 0.850
Pd 0.518 0.482 0.350
Pd 0.580 0.420 0.968
Pd 0.610 0.390 0.626
Pd 0.722 0.278 0.290
Pd 0.784 0.216 0.907
Pd 0.911 0.089 0.588
CELL_PARAMETERS angstrom
2.206 -11.060 0.000
2.206 11.060 0.000
0.000 0.000 15.670
```

Computed properties:
* energy: -56.2 eV per formula unit
* crystal system: orthorhombic
* space-group type: Cmc2_1 (36)
* mass density: 8735 kg/m³
* total moment: 0.0 μB/cell

---

2.
The following is a DFT calculation (PBE) of a relaxed structure of KSrNiMo2. Values from VASP.

Structure (Quantum ESPRESSO input):
```
&SYSTEM
  ibrav = 0, nat = 5, ntyp = 4
/
ATOMIC_SPECIES
K 39.10 K.upf
Sr 87.62 Sr.upf
Ni 58.69 Ni.upf
Mo 95.94 Mo.upf
ATOMIC_POSITIONS crystal
K 0.000 0.000 0.000
Sr 0.000 0.000 0.500
Ni 0.500 0.500 0.000
Mo 0.000 0.500 0.500
Mo 0.500 0.000 0.500
CELL_PARAMETERS angstrom
4.957 0.000 0.000
0.000 4.957 0.000
0.000 0.000 5.470
```

Computed properties:
* crystal system: tetragonal
* space-group type: P4/mmm (123)
* mass density: 4662 kg/m³
* total moment: 3.1 μB/cell
* relative energy among the computed polymorphs: 1568.5 meV per atom

---

3.
The following is a DFT calculation (PBE) of a relaxed structure of Be2HgPt. Values from VASP.

Structure (Quantum ESPRESSO input):
```
&SYSTEM
  ibrav = 0, nat = 4, ntyp = 3
/
ATOMIC_SPECIES
Be 9.01 Be.upf
Hg 200.59 Hg.upf
Pt 195.08 Pt.upf
ATOMIC_POSITIONS crystal
Be 0.000 0.000 0.000
Be 0.500 0.500 0.215
Hg 0.000 0.000 0.460
Pt 0.500 0.500 0.835
CELL_PARAMETERS angstrom
3.056 0.000 0.000
0.000 3.056 0.000
0.000 0.000 5.841
```

Computed properties:
* crystal system: tetragonal
* space-group type: P4mm (99)
* mass density: 12593 kg/m³
* total moment: 0.0 μB/cell
* relative energy among the computed polymorphs: 56.9 meV per atom

---

4.
The following is a DFT calculation (PBE) of a relaxed structure of Mg7TlAg4. Values from VASP.

Structure (Quantum ESPRESSO input):
```
&SYSTEM
  ibrav = 0, nat = 12, ntyp = 3
/
ATOMIC_SPECIES
Mg 24.30 Mg.upf
Tl 204.38 Tl.upf
Ag 107.87 Ag.upf
ATOMIC_POSITIONS crystal
Mg 0.000 0.000 0.000
Mg 0.235 0.235 0.697
Mg 0.290 0.290 0.123
Mg 0.428 0.428 0.590
Mg 0.572 0.572 0.410
Mg 0.710 0.710 0.877
Mg 0.765 0.765 0.303
Tl 0.500 0.500 0.000
Ag 0.051 0.051 0.726
Ag 0.188 0.188 0.354
Ag 0.812 0.812 0.646
Ag 0.949 0.949 0.274
CELL_PARAMETERS angstrom
6.931 -2.591 0.000
6.931 2.591 0.000
-5.121 0.000 7.205
```

Computed properties:
* energy: -25.3 eV per formula unit
* crystal system: monoclinic
* space-group type: C2/m (12)
* mass density: 5171 kg/m³
* total moment: 0.0 μB/cell

---

5.
The following is a DFT calculation (PBE) of a relaxed structure of Tb9Pm2Tm. Values from VASP.

Structure (Quantum ESPRESSO input):
```
&SYSTEM
  ibrav = 0, nat = 12, ntyp = 3
/
ATOMIC_SPECIES
Tb 158.93 Tb.upf
Pm 145.00 Pm.upf
Tm 168.93 Tm.upf
ATOMIC_POSITIONS crystal
Tb 0.000 0.000 0.000
Tb 0.000 0.000 0.332
Tb 0.000 0.000 0.668
Tb 0.000 0.500 0.164
Tb 0.000 0.500 0.500
Tb 0.000 0.500 0.836
Tb 0.500 0.000 0.164
Tb 0.500 0.000 0.500
Tb 0.500 0.000 0.836
Pm 0.500 0.500 0.332
Pm 0.500 0.500 0.668
Tm 0.500 0.500 0.000
CELL_PARAMETERS angstrom
5.047 0.000 0.000
0.000 5.047 0.000
0.000 0.000 15.141
```

Computed properties:
* crystal system: tetragonal
* space-group type: P4/mmm (123)
* mass density: 8134 kg/m³
* total moment: 0.0 μB/cell
* relative energy among the computed polymorphs: 0.0 meV per atom

---

6.
The following is a DFT calculation (PBE) of a relaxed structure of K2ZrCu. Values from VASP.

Structure (Quantum ESPRESSO input):
```
&SYSTEM
  ibrav = 0, nat = 4, ntyp = 3
/
ATOMIC_SPECIES
K 39.10 K.upf
Zr 91.22 Zr.upf
Cu 63.55 Cu.upf
ATOMIC_POSITIONS crystal
K 0.000 0.000 0.212
K 0.000 0.000 0.788
Zr 0.500 0.500 0.500
Cu 0.500 0.500 0.000
CELL_PARAMETERS angstrom
1.970 -2.523 0.000
1.970 2.523 0.000
0.000 0.000 11.825
```

Computed properties:
* crystal system: orthorhombic
* space-group type: Cmmm (65)
* mass density: 3292 kg/m³
* total moment: 0.0 μB/cell
* relative energy among the computed polymorphs: 400.3 meV per atom

---

- Which of these has the highest mass density?
  Be2HgPt